Record 1
Material: BaZn2NiF8
Method: DFT, PBE with a Hubbard U
State: optimized geometry

**Calculated volume**: 214.7 Å³/f.u.
**E**: -4.414 eV per atom
**Space group**: No. 164
**Density**: 3.70 g/cm³

Unit cell a=5.8712 b=5.8712 c=7.1922 alpha=90.00 beta=90.00 gamma=120.00
Closest atoms and distances in Å follow each position.
Atoms (fractional coordinates):
Ba (0.0000, 0.0000, 0.5000)  6 F 2.76
Zn (0.3333, 0.6667, 0.7499)  4 F 1.90-1.92
Zn (0.6667, 0.3333, 0.2501)  4 F 1.90-1.92
Ni (0.0000, 0.0000, 0.0000)  6 F 2.01
F (0.1509, 0.3017, 0.8191)  1 Zn 1.92, 1 Ni 2.01
F (0.1509, 0.8491, 0.8191)  1 Zn 1.92, 1 Ni 2.01
F (0.6983, 0.8491, 0.8191)  1 Zn 1.92, 1 Ni 2.01
F (0.3017, 0.1509, 0.1809)  1 Zn 1.92, 1 Ni 2.01
F (0.6667, 0.3333, 0.5146)  1 Zn 1.90
F (0.3333, 0.6667, 0.4854)  1 Zn 1.90
F (0.8491, 0.6983, 0.1809)  1 Zn 1.92, 1 Ni 2.01
F (0.8491, 0.1509, 0.1809)  1 Zn 1.92, 1 Ni 2.01

Record 2
Material: Cr2TcF
Method: DFT, PBE with a Hubbard U
State: optimized geometry

**Calculated volume**: 62.2 Å³/f.u.
**Excess energy over the best structure of this formula in the dataset**: 186 meV/atom
**Space group**: No. 225
**Density**: 5.90 g/cm³

Unit cell a=4.4485 b=4.4485 c=4.4485 alpha=60.00 beta=60.00 gamma=60.00
Closest atoms and distances in Å follow each position.
Atoms (fractional coordinates):
Cr (0.2500, 0.2500, 0.2500)  4 F 2.72, 4 Tc 2.72
Cr (0.7500, 0.7500, 0.7500)  4 Tc 2.72, 4 F 2.72
Tc (0.5000, 0.5000, 0.5000)  8 Cr 2.72
F (0.0000, 0.0000, 0.0000)  8 Cr 2.72